# 1
A geometry-optimized Tb3PmY4 structure, computed with PBE.

Computed properties:
Spin magnetization in μB/atom: 0.000
Energy above the most stable polymorph in this dataset in meV/atom: 0
Crystal system: orthorhombic
DOS at the Fermi energy in states/eV/cell: 28.64

POSCAR file:
```
Tb3PmY4
1.0
11.367 0.000 0.000
0.000 7.316 0.000
0.000 0.000 6.324
Tb Pm Y
6 2 8
direct
0.000 0.125 0.000 Tb
0.250 0.125 0.331 Tb
0.250 0.875 0.831 Tb
0.500 0.875 0.500 Tb
0.750 0.125 0.331 Tb
0.750 0.875 0.831 Tb
0.000 0.876 0.501 Pm
0.500 0.124 0.001 Pm
0.000 0.375 0.497 Y
0.000 0.625 0.998 Y
0.249 0.375 0.834 Y
0.251 0.625 0.334 Y
0.500 0.375 0.498 Y
0.500 0.625 0.997 Y
0.749 0.625 0.334 Y
0.751 0.375 0.834 Y
```

# 2
A geometry-optimized Nd2TlSn3Te6 structure, computed with PBE.

Computed properties:
Spin magnetization in μB/atom: 0.000
ΔE_f (raw) in eV/atom: -0.67
Crystal system: monoclinic
DOS at the Fermi energy in states/eV/cell: 4.39

POSCAR file:
```
Nd2TlSn3Te6
1.0
10.005 -2.247 0.000
10.005 2.247 0.000
-2.332 0.000 9.059
Nd Tl Sn Te
2 1 3 6
direct
0.169 0.169 0.346 Nd
0.831 0.831 0.654 Nd
0.500 0.500 0.000 Tl
0.158 0.158 0.847 Sn
0.500 0.500 0.500 Sn
0.842 0.842 0.153 Sn
0.006 0.006 0.268 Te
0.323 0.323 0.900 Te
0.333 0.333 0.407 Te
0.667 0.667 0.593 Te
0.677 0.677 0.100 Te
0.994 0.994 0.732 Te
```

# 3
A geometry-optimized Sm4GeRu structure, computed with PBE.

Computed properties:
Spin magnetization in μB/atom: 0.000
Energy above the most stable polymorph in this dataset in meV/atom: 26
Crystal system: monoclinic
DOS at the Fermi energy in states/eV/cell: 8.71

POSCAR file:
```
Sm4GeRu
1.0
6.182 0.000 0.000
0.000 6.659 0.000
-2.874 0.000 7.959
Sm Ge Ru
8 2 2
direct
0.008 0.001 0.235 Sm
0.008 0.499 0.235 Sm
0.420 0.250 0.620 Sm
0.434 0.250 0.096 Sm
0.566 0.750 0.904 Sm
0.580 0.750 0.380 Sm
0.992 0.501 0.765 Sm
0.992 0.999 0.765 Sm
0.218 0.750 0.553 Ge
0.782 0.250 0.447 Ge
0.234 0.750 0.061 Ru
0.766 0.250 0.939 Ru
```

# 4
A geometry-optimized Rb4Ac3HoS8 structure, computed with PBE.

Computed properties:
Spin magnetization in μB/atom: 0.000
ΔE_f (raw) in eV/atom: -1.85
Crystal system: trigonal
DOS at the Fermi energy in states/eV/cell: 0.00

POSCAR file:
```
Rb4Ac3HoS8
1.0
4.365 2.520 7.734
-4.365 2.520 7.734
0.000 -5.040 7.734
Rb Ac Ho S
4 3 1 8
direct
0.000 0.000 0.000 Rb
0.000 0.500 0.500 Rb
0.500 0.000 0.500 Rb
0.500 0.500 0.000 Rb
0.000 0.000 0.500 Ac
0.000 0.500 0.000 Ac
0.500 0.000 0.000 Ac
0.500 0.500 0.500 Ho
0.235 0.235 0.235 S
0.251 0.723 0.723 S
0.277 0.277 0.749 S
0.277 0.749 0.277 S
0.723 0.251 0.723 S
0.723 0.723 0.251 S
0.749 0.277 0.277 S
0.765 0.765 0.765 S
```

Which value of spin magnetization does entry 3 give?
0.000 μB/atom